1.
Material: Sn2HgH2
Method: DFT, GGA-PBE
State: relaxed

Computed properties:
Volume: 108.9 Å³/f.u.
Crystal system: tetragonal
Raw total energy: -27.311 eV per cell
Density: 6.7 g/cm3

a = 7.4218 Å, b = 7.4218 Å, c = 3.9535 Å
α = 90.00°, β = 90.00°, γ = 90.00°
Space group P4/mbm (No. 127)
One atom of each set of equivalent atoms:
Sn: 0.1397 0.3603 0.0000 [4 per cell]
Hg: 0.0000 0.0000 0.0000 [2 per cell]
H: 0.1597 0.3403 0.5000 [4 per cell]

***

2.
Material: SnHg3H
Method: DFT, GGA-PBE
State: relaxed

Computed properties:
Volume: 201.9 Å³/f.u.
Crystal system: cubic
Raw total energy: -5.476 eV per cell
ΔE to the lowest computed polymorph: 387 meV per atom
Density: 5.9 g/cm3

a = 5.8667 Å, b = 5.8667 Å, c = 5.8667 Å
α = 90.00°, β = 90.00°, γ = 90.00°
Space group Pm-3m (No. 221)
One atom of each set of equivalent atoms:
Sn: 0.0000 0.0000 0.0000 [1 per cell]
Hg: 0.0000 0.0000 0.5000 [3 per cell]
H: 0.5000 0.5000 0.5000 [1 per cell]

***

3.
Material: SnHgH
Method: DFT, GGA-PBE
State: relaxed

Computed properties:
Volume: 73.6 Å³/f.u.
Crystal system: tetragonal
Raw total energy: -14.099 eV per cell
ΔE to the lowest computed polymorph: 162 meV per atom
Density: 7.2 g/cm3

a = 4.1658 Å, b = 4.1658 Å, c = 8.4872 Å
α = 90.00°, β = 90.00°, γ = 90.00°
Space group I4mm (No. 107)
One atom of each set of equivalent atoms:
Sn: 0.0000 0.0000 0.0000 [2 per cell]
Hg: 0.0000 0.0000 0.4659 [2 per cell]
H: 0.0000 0.0000 0.2143 [2 per cell]

***

4.
Material: SnHgH
Method: DFT, GGA-PBE
State: relaxed

Computed properties:
Volume: 78.8 Å³/f.u.
Crystal system: triclinic
Raw total energy: -14.136 eV per cell
ΔE to the lowest computed polymorph: 156 meV per atom
Density: 6.7 g/cm3

a = 4.8359 Å, b = 5.2297 Å, c = 7.0009 Å
α = 107.31°, β = 110.11°, γ = 90.18°
Space group P1 (No. 1)
One atom of each set of equivalent atoms:
Sn: 0.0000 0.0000 0.0000 [1 per cell]
Sn: 0.3778 0.9796 0.7547 [1 per cell]
Hg: 0.0772 0.5618 0.1536 [1 per cell]
Hg: 0.7141 0.3150 0.4291 [1 per cell]
H: 0.2497 0.7237 0.4976 [1 per cell]
H: 0.3399 0.2729 0.6780 [1 per cell]

***

5.
Material: SnHg2H2
Method: DFT, GGA-PBE
State: relaxed

Computed properties:
Volume: 85.8 Å³/f.u.
Crystal system: tetragonal
Raw total energy: -17.921 eV per cell
ΔE to the lowest computed polymorph: 241 meV per atom
Density: 10.1 g/cm3

a = 3.4986 Å, b = 3.4986 Å, c = 14.0163 Å
α = 90.00°, β = 90.00°, γ = 90.00°
Space group I4/mmm (No. 139)
One atom of each set of equivalent atoms:
Sn: 0.0000 0.0000 0.0000 [2 per cell]
Hg: 0.0000 0.0000 0.3468 [4 per cell]
H: 0.0000 0.5000 0.2500 [4 per cell]

***

6.
Material: SnHg2H2
Method: DFT, GGA-PBE
State: relaxed

Computed properties:
Volume: 108.9 Å³/f.u.
Crystal system: triclinic
Raw total energy: -20.332 eV per cell
ΔE to the lowest computed polymorph: 0 meV per atom
Density: 8.0 g/cm3

a = 5.1264 Å, b = 7.0414 Å, c = 7.1722 Å
α = 115.56°, β = 108.96°, γ = 90.11°
Space group P-1 (No. 2)
One atom of each set of equivalent atoms:
Sn: 0.0594 0.3423 0.1113 [2 per cell]
Hg: 0.1983 0.0245 0.3931 [2 per cell]
Hg: 0.3757 0.8167 0.7520 [2 per cell]
H: 0.1942 0.5760 0.3821 [2 per cell]
H: 0.2260 0.4970 0.9904 [2 per cell]

***

7.
Material: SnHg4H2
Method: DFT, GGA-PBE
State: relaxed

Computed properties:
Volume: 149.9 Å³/f.u.
Crystal system: orthorhombic
Raw total energy: -20.317 eV per cell
Density: 10.2 g/cm3

a = 5.7094 Å, b = 16.1014 Å, c = 3.2602 Å
α = 90.00°, β = 90.00°, γ = 90.00°
Space group Cmmm (No. 65)
One atom of each set of equivalent atoms:
Sn: 0.0000 0.0000 0.0000 [2 per cell]
Hg: 0.0000 0.1902 0.0000 [4 per cell]
Hg: 0.0000 0.4155 0.5000 [4 per cell]
H: 0.0000 0.3073 0.5000 [4 per cell]

***

8.
Material: SnHgH2
Method: DFT, GGA-PBE
State: relaxed

Computed properties:
Volume: 59.5 Å³/f.u.
Crystal system: cubic
Raw total energy: -33.617 eV per cell
ΔE to the lowest computed polymorph: 269 meV per atom
Density: 9.0 g/cm3

a = 6.1981 Å, b = 6.1981 Å, c = 6.1981 Å
α = 90.00°, β = 90.00°, γ = 90.00°
Space group Fm-3m (No. 225)
One atom of each set of equivalent atoms:
Sn: 0.0000 0.0000 0.0000 [4 per cell]
Hg: 0.0000 0.0000 0.5000 [4 per cell]
H: 0.2500 0.2500 0.2500 [8 per cell]